Here is a PBEsol-optimized structure of SrSbPt2 from Alexandria. Energies are from meta-GGA SCAN.

Calculated values
Calculated total energy: -201.83 eV/f.u.
Raw formation energy: -0.478 eV per atom
Space group: No. 99

```
SrSbPt2
1.0
3.598 0.000 0.000
0.000 3.598 0.000
0.000 0.000 6.733
Sb Pt Sr
1 2 1
Cartesian
0.000 0.000 2.827 Sb
1.799 1.799 1.735 Pt
0.000 0.000 0.255 Pt
1.799 1.799 5.283 Sr
```

Here is a PBEsol-optimized structure of SrSbPt2 from Alexandria. Energies are from meta-GGA SCAN.

Calculated values
Calculated total energy: -202.73 eV/f.u.
Raw formation energy: -0.701 eV per atom
Space group: No. 122

```
SrSbPt2
1.0
5.074 0.000 0.000
0.000 5.074 0.000
-2.537 -2.537 8.793
Pt Sr Sb
4 2 2
Cartesian
0.249 3.805 2.198 Pt
-1.268 2.786 6.595 Pt
1.268 2.288 6.595 Pt
-0.249 1.268 2.198 Pt
2.537 2.537 0.000 Sr
2.537 0.000 4.396 Sr
0.000 2.537 4.396 Sb
0.000 0.000 0.000 Sb
```

Here is a PBEsol-optimized structure of TaSbPt2 from Alexandria. Energies are from meta-GGA SCAN.

Calculated values
Calculated total energy: -245.10 eV/f.u.
Raw formation energy: -0.217 eV per atom
Space group: No. 25

```
TaSbPt2
1.0
2.994 0.000 0.000
0.000 3.770 0.000
0.000 0.000 6.150
Sb Pt Ta
1 2 1
Cartesian
0.000 0.000 2.975 Sb
1.497 1.885 1.461 Pt
0.000 0.000 6.107 Pt
1.497 1.885 4.833 Ta
```

Here is a PBEsol-optimized structure of Ta2SbPt from Alexandria. Energies are from meta-GGA SCAN.

Calculated values
Calculated total energy: -240.92 eV/f.u.
Raw formation energy: -0.076 eV per atom
Space group: No. 99

```
Ta2SbPt
1.0
-1.962 0.852 2.080
-1.661 -2.410 -0.580
4.229 -4.298 5.747
Sb Pt Ta
1 1 2
Cartesian
1.346 -3.988 5.041 Sb
2.001 -2.034 2.720 Pt
-0.687 -1.922 2.278 Ta
0.060 -0.061 0.082 Ta
```